A plane-wave DFT calculation with GGA-PBE was carried out for crystalline MgAl2W at its relaxed geometry.

Properties
Energy of formation from the pure elements: 0.15 eV per atom
Total energy: -5.3585 eV/atom

abc: 2.7798 2.7798 8.7071
angles: 90.00 90.00 90.00
Last column: nearest neighbours and their distance in Å.
Fractional positions:
Mg: 0.0000 0.0000 0.0000  4 Mg 2.78, 4 W 2.99, 4 Al 3.06
Al: 0.0000 0.0000 0.4897  8 Al 2.78-2.87, 4 W 2.81
Al: 0.5000 0.5000 0.7300  8 Al 2.78-2.87, 4 Mg 3.06
W: 0.5000 0.5000 0.2587  4 W 2.78, 4 Al 2.81, 4 Mg 2.99

---

A plane-wave DFT calculation with GGA-PBE was carried out for crystalline NiPt3Rh at its relaxed geometry.

Properties
Energy of formation from the pure elements: 1.66 eV per atom
Total energy: -4.5946 eV/atom

abc: 4.7755 4.7755 4.7755
angles: 90.00 90.00 90.00
Last column: nearest neighbours and their distance in Å.
Fractional positions:
Ni: 0.0000 0.0000 0.0000  12 Pt 3.38
Pt: 0.0000 0.5000 0.5000  2 Rh 2.39
Pt: 0.5000 0.0000 0.5000  2 Rh 2.39
Pt: 0.5000 0.5000 0.0000  2 Rh 2.39
Rh: 0.5000 0.5000 0.5000  6 Pt 2.39

---

A plane-wave DFT calculation with GGA-PBE was carried out for crystalline Pm2Dy6In3 at its relaxed geometry.

Properties
Energy of formation from the pure elements: -0.01 eV per atom
Total energy: -4.1352 eV/atom

abc: 17.1297 17.1297 17.1297
angles: 164.76 164.76 21.61
Last column: nearest neighbours and their distance in Å.
Fractional positions:
Pm: 0.0441 0.0441 0.0000  1 Pm 2.97
Pm: 0.9559 0.9559 0.0000  1 Pm 2.97
Dy: 0.1285 0.6285 0.5000  2 In 3.17, 4 Dy 3.21
Dy: 0.2132 0.2132 0.0000  5 In 3.12-3.27
Dy: 0.3715 0.8715 0.5000  2 In 3.17, 4 Dy 3.21
Dy: 0.6285 0.1285 0.5000  2 In 3.17, 4 Dy 3.21
Dy: 0.7868 0.7868 0.0000  5 In 3.12-3.27
Dy: 0.8715 0.3715 0.5000  2 In 3.17, 4 Dy 3.21
In: 0.3059 0.3059 0.0000  9 Dy 3.12-3.27
In: 0.5000 0.5000 0.0000  8 Pm 3.54
In: 0.6941 0.6941 0.0000  9 Dy 3.12-3.27

---

A plane-wave DFT calculation with GGA-PBE was carried out for crystalline BeGaNi2Pt at its relaxed geometry.

Properties
Energy of formation from the pure elements: 0.17 eV per atom
Total energy: -4.7015 eV/atom

abc: 3.8925 3.8925 4.1889
angles: 90.00 90.00 90.00
Last column: nearest neighbours and their distance in Å.
Fractional positions:
Be: 0.0000 0.0000 0.0000  4 Ni 1.95, 2 Ga 2.09
Ga: 0.0000 0.0000 0.5000  2 Be 2.09
Ni: 0.0000 0.5000 0.0000  2 Be 1.95
Ni: 0.5000 0.0000 0.0000  2 Be 1.95
Pt: 0.5000 0.5000 0.5000  4 Ga 2.75, 8 Ni 2.86

---

Total magnetization list, top to bottom, in μB/cell: 0.0; 0.0; 0.0; 0.0